VASP calculation (PBE+U) on a relaxed Li2CrAgO4 crystal.

Properties
Total DFT energy (no corrections) (eV per atom): -5.6652
Magnetization (μB/cell): 2.00

Lattice parameters (Å, degrees): 4.855 4.855 8.330 90.00 90.00 90.00
Sites, in units of the cell vectors:
1 Li 0.000 0.500 0.250
2 Li 0.000 0.500 0.750
3 Li 0.500 0.000 0.250
4 Li 0.500 0.000 0.750
5 Cr 0.000 0.000 0.000
6 Cr 0.500 0.500 0.500
7 Ag 0.000 0.000 0.500
8 Ag 0.500 0.500 0.000
9 O 0.200 0.200 0.872
10 O 0.200 0.800 0.128
11 O 0.300 0.300 0.372
12 O 0.300 0.700 0.628
13 O 0.700 0.300 0.628
14 O 0.700 0.700 0.372
15 O 0.800 0.200 0.128
16 O 0.800 0.800 0.872